No. 1
SnHRuRh2 | PBE | optimized geometry

Calculated values
The space-group type is P4/mmm (123). The total magnetization is 2.8 μB/cell. The energy above the lowest structure with this stoichiometry is 1.245 eV per atom. The calculation puts the total energy at -5.171 eV per atom.

Cell: 4.9828 4.9828 3.2751 Å, 90.00 90.00 90.00°
Closest atoms and distances in Å follow each position.
Atoms (fractional coordinates):
Sn: 0.0000 0.0000 0.0000  2 H 1.64
H: 0.0000 0.0000 0.5000  2 Sn 1.64
Ru: 0.5000 0.5000 0.5000  8 Rh 2.98, 2 Ru 3.28
Rh: 0.0000 0.5000 0.0000  2 Sn 2.49
Rh: 0.5000 0.0000 0.0000  2 Sn 2.49

No. 2
Ta2HRuRh | PBE | optimized geometry

Calculated values
The space-group type is P4/mmm (123). The total magnetization is 0.0 μB/cell. The energy above the lowest structure with this stoichiometry is 0.023 eV per atom. The calculation puts the total energy at -9.008 eV per atom.

Cell: 4.1635 4.1635 3.8084 Å, 90.00 90.00 90.00°
Closest atoms and distances in Å follow each position.
Atoms (fractional coordinates):
Ta: 0.0000 0.5000 0.0000  2 H 2.08
Ta: 0.5000 0.0000 0.0000  2 H 2.08
H: 0.0000 0.0000 0.0000  2 Rh 1.90, 4 Ta 2.08
Ru: 0.5000 0.5000 0.5000  8 Ta 2.82, 4 Rh 2.94
Rh: 0.0000 0.0000 0.5000  2 H 1.90

No. 3
TaHRu2Rh | PBE | optimized geometry

Calculated values
The space-group type is P4/mmm (123). The total magnetization is 0.0 μB/cell. The energy above the lowest structure with this stoichiometry is 0.000 eV per atom. The calculation puts the total energy at -8.552 eV per atom.

Cell: 3.9533 3.9533 3.9167 Å, 90.00 90.00 90.00°
Closest atoms and distances in Å follow each position.
Atoms (fractional coordinates):
Ta: 0.0000 0.0000 0.0000  8 Ru 2.78, 4 Rh 2.80
H: 0.5000 0.5000 0.5000  2 Rh 1.96, 4 Ru 1.98
Ru: 0.0000 0.5000 0.5000  2 H 1.98
Ru: 0.5000 0.0000 0.5000  2 H 1.98
Rh: 0.5000 0.5000 0.0000  2 H 1.96

No. 4
Ta2HRuRh | PBE | optimized geometry

Calculated values
The space-group type is P4/mmm (123). The total magnetization is 0.0 μB/cell. The energy above the lowest structure with this stoichiometry is 0.000 eV per atom. The calculation puts the total energy at -9.030 eV per atom.

Cell: 4.1729 4.1729 3.7904 Å, 90.00 90.00 90.00°
Closest atoms and distances in Å follow each position.
Atoms (fractional coordinates):
Ta: 0.0000 0.5000 0.0000  2 H 2.09
Ta: 0.5000 0.0000 0.0000  2 H 2.09
H: 0.0000 0.0000 0.0000  2 Ru 1.90, 4 Ta 2.09
Ru: 0.0000 0.0000 0.5000  2 H 1.90
Rh: 0.5000 0.5000 0.5000  8 Ta 2.82, 4 Ru 2.95